First-principles (GGA-PBE) data for an optimized crystal structure of CsSmNiSe3, as listed in OQMD.

Structure (POSCAR):
```
CsSmNiSe3
1.0
11.5725 0.0000 0.0000
0.0000 4.3897 0.0000
0.0000 0.0000 13.0404
Cs Sm Ni Se
4 4 4 12
direct
0.1573 0.2500 0.0056 Cs
0.3427 0.7500 0.5056 Cs
0.6573 0.2500 0.4944 Cs
0.8427 0.7500 0.9944 Cs
0.0094 0.2500 0.6569 Sm
0.4906 0.7500 0.1569 Sm
0.5094 0.2500 0.8431 Sm
0.9906 0.7500 0.3431 Sm
0.2362 0.2500 0.2940 Ni
0.2638 0.7500 0.7940 Ni
0.7362 0.2500 0.2060 Ni
0.7638 0.7500 0.7060 Ni
0.0596 0.7500 0.7985 Se
0.1159 0.2500 0.4480 Se
0.2206 0.7500 0.2284 Se
0.2794 0.2500 0.7284 Se
0.3841 0.7500 0.9480 Se
0.4404 0.2500 0.2985 Se
0.5596 0.7500 0.7015 Se
0.6159 0.2500 0.0520 Se
0.7206 0.7500 0.2716 Se
0.7794 0.2500 0.7716 Se
0.8841 0.7500 0.5520 Se
0.9404 0.2500 0.2015 Se
```

Output
Distance to the lowest polymorph of the same formula   64 meV/atom
Magnetization   0.0126 μB per atom
Volume   27.6 Å³/atom